## Re3GeAu (GGA-PBE)

Data for a relaxed Re3GeAu crystal.

ΔE_f: 1.85 eV per atom
symmetry: Pm-3m, No. 221
calculated volume: 93.0 Å³ per cell
energy above the most stable polymorph in this dataset: 0.0 meV per atom

Cell and atoms, written as POSCAR:
```
Re3GeAu
1.0
4.5310 0.0000 0.0000
0.0000 4.5310 0.0000
0.0000 0.0000 4.5310
Re Ge Au
3 1 1
direct
0.0000 0.0000 0.5000 Re
0.0000 0.5000 0.0000 Re
0.5000 0.0000 0.0000 Re
0.0000 0.0000 0.0000 Ge
0.5000 0.5000 0.5000 Au
```

## ReGeAu2 (GGA-PBE)

Data for a relaxed ReGeAu2 crystal.

ΔE_f: 0.60 eV per atom
symmetry: R-3m, No. 166
calculated volume: 71.9 Å³ per cell

Cell and atoms, written as POSCAR:
```
ReGeAu2
1.0
1.4025 0.8097 10.5590
-1.4025 0.8097 10.5590
0.0000 -1.6195 10.5590
Re Ge Au
1 1 2
direct
0.0000 0.0000 0.0000 Re
0.5000 0.5000 0.5000 Ge
0.0868 0.0868 0.0868 Au
0.9132 0.9132 0.9132 Au
```

## Re3GeAu (GGA-PBE)

Data for a relaxed Re3GeAu crystal.

ΔE_f: 2.95 eV per atom
symmetry: Pm-3m, No. 221
calculated volume: 115.4 Å³ per cell
energy above the most stable polymorph in this dataset: 1104.5 meV per atom

Cell and atoms, written as POSCAR:
```
Re3GeAu
1.0
4.8687 0.0000 0.0000
0.0000 4.8687 0.0000
0.0000 0.0000 4.8687
Re Ge Au
3 1 1
direct
0.0000 0.0000 0.5000 Re
0.0000 0.5000 0.0000 Re
0.5000 0.0000 0.0000 Re
0.5000 0.5000 0.5000 Ge
0.0000 0.0000 0.0000 Au
```

## Ti2ReGeAu (GGA-PBE)

Data for a relaxed Ti2ReGeAu crystal.

ΔE_f: 0.81 eV per atom
symmetry: P4/mmm, No. 123
calculated volume: 112.8 Å³ per cell

Cell and atoms, written as POSCAR:
```
Ti2ReGeAu
1.0
4.6741 0.0000 0.0000
0.0000 4.6741 0.0000
0.0000 0.0000 5.1626
Ti Re Ge Au
2 1 1 1
direct
0.0000 0.5000 0.0000 Ti
0.5000 0.0000 0.0000 Ti
0.0000 0.0000 0.0000 Re
0.5000 0.5000 0.5000 Ge
0.0000 0.0000 0.5000 Au
```